A plane-wave DFT calculation with SCAN was carried out for a PBEsol-optimized structure of Li3CaMnN3.

Lattice parameters (Å, degrees): 5.6785 5.6785 6.9387 65.85 65.85 60.00
Last column: nearest neighbours and their distance in Å.
Element x y z (fractional)
1 N 0.3832 0.0923 0.7409  1 Mn 1.75
2 N 0.2164 0.6168 0.2591  1 Mn 1.75
3 N 0.6168 0.9077 0.2591  1 Mn 1.75
4 N 0.7836 0.3832 0.7409  1 Mn 1.75
5 N 0.9077 0.2164 0.2591  1 Mn 1.75
6 N 0.0923 0.7836 0.7409  1 Mn 1.75
7 Mn 0.0650 0.0650 0.8049  3 N 1.75
8 Mn 0.9350 0.9350 0.1951  3 N 1.75
9 Li 0.7600 0.1050 0.6130  4 N 1.98-2.18
10 Li 0.4780 0.2400 0.3870  4 N 1.98-2.18
11 Li 0.8950 0.4780 0.3870  4 N 1.98-2.18
12 Li 0.2400 0.8950 0.3870  4 N 1.98-2.18
13 Li 0.1050 0.5220 0.6130  4 N 1.98-2.18
14 Li 0.5220 0.7600 0.6130  4 N 1.98-2.18
15 Ca 0.3375 0.3375 0.9874  6 N 2.48-2.61
16 Ca 0.6625 0.6625 0.0126  6 N 2.48-2.61

Formation energy from raw total energies (meV/atom): -866
Calculated volume (Å³ per cell): 170.8
Space group: R-3

---

A plane-wave DFT calculation with SCAN was carried out for a PBEsol-optimized structure of LiCa2ZrMn.

Lattice parameters (Å, degrees): 4.6387 5.6167 5.6167 90.00 90.00 90.00
Last column: nearest neighbours and their distance in Å.
Element x y z (fractional)
1 Mn 0.0000 0.0000 0.0000  2 Zr 2.32
2 Ca 0.0000 0.0000 0.5000  2 Mn 2.81
3 Ca 0.0000 0.5000 0.0000  2 Mn 2.81
4 Li 0.5000 0.5000 0.5000  8 Ca 3.64, 4 Zr 3.97
5 Zr 0.5000 0.0000 0.0000  2 Mn 2.32

Final energy (eV/cell): -68.6
DOS(E_F) (states/eV/f.u.): 3.30
Calculated volume (Å³ per cell): 146.3
Space group: P4/mmm

---

A plane-wave DFT calculation with SCAN was carried out for a PBEsol-optimized structure of LiCaMo2.

Lattice parameters (Å, degrees): 2.7745 4.1785 6.6011 90.00 102.09 90.00
Last column: nearest neighbours and their distance in Å.
Element x y z (fractional)
1 Ca 0.5565 0.0000 0.4907  2 Ca 2.77, 2 Mo 3.00
2 Mo 0.9468 0.0000 0.0214  4 Mo 2.49-2.77
3 Mo 0.7557 0.5000 0.1930  4 Mo 2.49-2.77, 1 Li 2.72
4 Li 0.2410 0.5000 0.7949  5 Mo 2.72-3.03, 2 Li 2.77

DOS(E_F) (states/eV/f.u.): 1.59
Calculated volume (Å³ per cell): 74.8
Space group: Pm
E above lowest polymorph (eV/atom): 0.000